{
  "formula": "Ac3Tl2Pb",
  "functional": "PBE",
  "state": "optimized geometry",
  "lattice": [[-2.913, 3.930, -1.162], [-8.994, -4.167, 8.453], [5.973, 7.383, 9.994]],
  "species": ["Ac", "Ac", "Tl", "Pb", "Ac", "Tl", "Ac", "Tl", "Tl", "Ac", "Tl", "Ac", "Pb", "Pb", "Ac", "Pb", "Tl", "Ac", "Ac", "Tl", "Ac", "Ac", "Ac", "Tl"],
  "fractional_positions": [[0.750, 0.310, 0.785], [0.250, 0.117, 0.550], [0.750, 0.474, 0.187], [0.750, 0.874, 0.871], [0.250, 0.434, 0.372], [0.250, 0.974, 0.313], [0.250, 0.690, 0.215], [0.250, 0.799, 0.998], [0.250, 0.701, 0.498], [0.750, 0.566, 0.628], [0.250, 0.526, 0.813], [0.750, 0.934, 0.128], [0.750, 0.626, 0.371], [0.250, 0.374, 0.629], [0.250, 0.066, 0.872], [0.250, 0.126, 0.129], [0.750, 0.026, 0.687], [0.750, 0.617, 0.950], [0.750, 0.190, 0.285], [0.750, 0.201, 0.002], [0.250, 0.383, 0.050], [0.250, 0.810, 0.715], [0.750, 0.883, 0.450], [0.750, 0.299, 0.502]],
  "formation_energy_mev_per_atom": -339.0,
  "dft_energy_ev_per_atom": -3.8000,
  "magmom_total_mub_per_cell": 0.00
}

***

{
  "formula": "Ac8Tl5Pb",
  "functional": "PBE",
  "state": "optimized geometry",
  "lattice": [[8.857, 0.021, -0.036], [-2.977, 8.341, 0.036], [-2.902, -4.207, 7.233]],
  "species": ["Tl", "Ac", "Ac", "Ac", "Ac", "Tl", "Ac", "Ac", "Tl", "Ac", "Pb", "Tl", "Ac", "Tl"],
  "fractional_positions": [[0.877, 0.876, 0.251], [0.773, 0.253, 0.378], [0.626, 0.896, 0.878], [0.622, 0.395, 0.875], [0.122, 0.748, 0.018], [0.749, 0.626, 0.624], [0.125, 0.747, 0.519], [0.481, 0.605, 0.227], [0.999, 0.374, 0.123], [0.982, 0.104, 0.730], [0.250, 0.500, 0.750], [0.500, 0.000, 0.500], [0.270, 0.252, 0.374], [0.376, 0.124, 0.001]],
  "formation_energy_mev_per_atom": -315.2,
  "dft_energy_ev_per_atom": -3.7728,
  "magmom_total_mub_per_cell": 0.00
}

***

{
  "formula": "Ac12TlPb6",
  "functional": "PBE",
  "state": "optimized geometry",
  "lattice": [[9.716, -0.162, -0.194], [-1.633, 9.579, -0.194], [-1.633, -1.902, 9.390]],
  "species": ["Pb", "Tl", "Ac", "Pb", "Ac", "Ac", "Ac", "Pb", "Ac", "Ac", "Ac", "Pb", "Ac", "Pb", "Ac", "Ac", "Pb", "Ac", "Ac"],
  "fractional_positions": [[0.314, 0.127, 0.626], [0.000, 0.000, 0.000], [0.188, 0.416, 0.554], [0.374, 0.686, 0.873], [0.044, 0.671, 0.941], [0.554, 0.188, 0.416], [0.941, 0.044, 0.671], [0.127, 0.626, 0.314], [0.956, 0.329, 0.059], [0.812, 0.584, 0.446], [0.446, 0.812, 0.584], [0.873, 0.374, 0.686], [0.671, 0.941, 0.044], [0.626, 0.314, 0.127], [0.059, 0.956, 0.329], [0.584, 0.446, 0.812], [0.686, 0.873, 0.374], [0.416, 0.554, 0.188], [0.329, 0.059, 0.956]],
  "formation_energy_mev_per_atom": -237.1,
  "dft_energy_ev_per_atom": -4.1275,
  "magmom_total_mub_per_cell": 0.00
}

***

{
  "formula": "Ac12Tl6Pb",
  "functional": "PBE",
  "state": "optimized geometry",
  "lattice": [[9.381, 0.000, -3.317], [-4.690, 8.124, -3.317], [0.000, 0.000, 9.950]],
  "species": ["Ac", "Ac", "Tl", "Ac", "Ac", "Ac", "Ac", "Ac", "Ac", "Tl", "Tl", "Ac", "Ac", "Pb", "Ac", "Ac", "Tl", "Tl", "Tl"],
  "fractional_positions": [[0.289, 0.471, 0.182], [0.289, 0.107, 0.818], [0.500, 0.130, 0.630], [0.711, 0.893, 0.182], [0.471, 0.182, 0.289], [0.818, 0.289, 0.107], [0.818, 0.711, 0.529], [0.893, 0.182, 0.711], [0.182, 0.289, 0.471], [0.500, 0.870, 0.370], [0.870, 0.370, 0.500], [0.182, 0.711, 0.893], [0.107, 0.818, 0.289], [0.000, 0.000, 0.000], [0.711, 0.529, 0.818], [0.529, 0.818, 0.711], [0.370, 0.500, 0.870], [0.130, 0.630, 0.500], [0.630, 0.500, 0.130]],
  "formation_energy_mev_per_atom": -194.1,
  "dft_energy_ev_per_atom": -3.7313,
  "magmom_total_mub_per_cell": 0.00
}

***

{
  "formula": "Ac2Tl2Pb3",
  "functional": "PBE",
  "state": "optimized geometry",
  "lattice": [[-2.506, 3.596, 2.647], [0.432, -5.734, 3.246], [6.560, 2.947, 2.207]],
  "species": ["Pb", "Pb", "Pb", "Ac", "Ac", "Tl", "Tl"],
  "fractional_positions": [[0.299, 0.599, 0.153], [0.701, 0.401, 0.847], [0.000, 0.000, 0.000], [0.397, 0.794, 0.708], [0.603, 0.206, 0.292], [0.115, 0.231, 0.606], [0.885, 0.769, 0.394]],
  "formation_energy_mev_per_atom": -328.3,
  "dft_energy_ev_per_atom": -3.7675,
  "magmom_total_mub_per_cell": 0.00
}

***

{
  "formula": "AcTlPb",
  "functional": "PBE",
  "state": "optimized geometry",
  "lattice": [[-3.096, 2.355, 3.052], [-4.490, 0.842, -5.204], [-1.000, -6.303, -0.156]],
  "species": ["Tl", "Pb", "Tl", "Ac", "Ac", "Pb"],
  "fractional_positions": [[0.628, 0.250, 0.755], [0.000, 0.500, 0.500], [0.372, 0.750, 0.245], [0.674, 0.750, 0.848], [0.326, 0.250, 0.152], [0.000, 0.000, 0.500]],
  "formation_energy_mev_per_atom": -376.7,
  "dft_energy_ev_per_atom": -3.7711,
  "magmom_total_mub_per_cell": 0.00
}